# PBE BaFe, relaxed
# - Energy of formation: 0.49 eV/atom
data_BaFe
_chemical_formula_sum 'Ba6 Fe6'
_cell_length_a 4.030
_cell_length_b 11.714
_cell_length_c 8.560
_cell_angle_alpha 90.00
_cell_angle_beta 90.00
_cell_angle_gamma 90.00
_symmetry_space_group_name_H-M 'I m m 2'
_symmetry_Int_Tables_number 44
_symmetry_space_group_name_Hall 'I 2 -2'
loop_
_atom_site_label
_atom_site_type_symbol
_atom_site_fract_x
_atom_site_fract_y
_atom_site_fract_z
Ba1 Ba 0.000 0.000 0.000
Ba2 Ba 0.000 0.316 0.124
Fe1 Fe 0.000 0.000 0.375
Fe2 Fe 0.000 0.406 0.774


# PBE BaFe3, relaxed
# - Energy of formation: 0.98 eV/atom
data_BaFe3
_chemical_formula_sum 'Ba3 Fe9'
_cell_length_a 3.1850
_cell_length_b 3.1850
_cell_length_c 26.4499
_cell_angle_alpha 90.00
_cell_angle_beta 90.00
_cell_angle_gamma 120.00
_symmetry_space_group_name_H-M 'R -3 m'
_symmetry_Int_Tables_number 166
_symmetry_space_group_name_Hall '-R 3 2"'
loop_
_atom_site_label
_atom_site_type_symbol
_atom_site_fract_x
_atom_site_fract_y
_atom_site_fract_z
Ba1 Ba 0.0000 0.0000 0.0000
Fe1 Fe 0.0000 0.0000 0.2282
Fe2 Fe 0.0000 0.0000 0.5000


# PBE BaFe, relaxed
# - Energy of formation: 0.49 eV/atom
data_BaFe
_chemical_formula_sum 'Ba6 Fe6'
_cell_length_a 4.010
_cell_length_b 10.347
_cell_length_c 9.274
_cell_angle_alpha 90.00
_cell_angle_beta 90.00
_cell_angle_gamma 90.00
_symmetry_space_group_name_H-M 'P m m n'
_symmetry_Int_Tables_number 59
loop_
_symmetry_equiv_pos_as_xyz
'x,y,z'
'-x,-y,-z'
'-x+1/2,-y+1/2,z'
'x+1/2,y+1/2,-z'
'x+1/2,-y,-z'
'-x+1/2,y,z'
'-x,y+1/2,-z'
'x,-y+1/2,z'
loop_
_atom_site_label
_atom_site_type_symbol
_atom_site_fract_x
_atom_site_fract_y
_atom_site_fract_z
Ba1 Ba 0.250 0.074 0.205
Ba2 Ba 0.250 0.250 0.672
Fe1 Fe 0.250 0.547 0.516
Fe2 Fe 0.250 0.750 0.592


# PBE BaFe3, relaxed
# - Energy of formation: 0.89 eV/atom
data_BaFe3
_chemical_formula_sum 'Ba1 Fe3'
_cell_length_a 3.5401
_cell_length_b 3.5401
_cell_length_c 7.7690
_cell_angle_alpha 90.00
_cell_angle_beta 90.00
_cell_angle_gamma 120.00
_symmetry_space_group_name_H-M 'P -6 m 2'
_symmetry_Int_Tables_number 187
_symmetry_space_group_name_Hall 'P -6 2'
loop_
_atom_site_label
_atom_site_type_symbol
_atom_site_fract_x
_atom_site_fract_y
_atom_site_fract_z
Ba1 Ba 0.0000 0.0000 0.0000
Fe1 Fe 0.0000 0.0000 0.5000
Fe2 Fe 0.6667 0.3333 0.3380


# PBE Ba4Fe, relaxed
# - Energy above the most stable polymorph in this dataset: 172 meV per atom
# - Energy of formation: 0.51 eV/atom
data_Ba4Fe
_chemical_formula_sum 'Ba8 Fe2'
_cell_length_a 7.917
_cell_length_b 7.917
_cell_length_c 7.917
_cell_angle_alpha 90.00
_cell_angle_beta 90.00
_cell_angle_gamma 90.00
_symmetry_space_group_name_H-M 'I m -3 m'
_symmetry_Int_Tables_number 229
_symmetry_space_group_name_Hall '-I 4 2 3'
loop_
_atom_site_label
_atom_site_type_symbol
_atom_site_fract_x
_atom_site_fract_y
_atom_site_fract_z
Ba1 Ba 0.250 0.250 0.250
Fe1 Fe 0.000 0.000 0.000


# PBE BaGa2Fe, relaxed
# - Energy of formation: 0.32 eV/atom
data_BaGa2Fe
_chemical_formula_sum 'Ba4 Ga8 Fe4'
_cell_length_a 7.057
_cell_length_b 7.057
_cell_length_c 7.057
_cell_angle_alpha 90.00
_cell_angle_beta 90.00
_cell_angle_gamma 90.00
_symmetry_space_group_name_H-M 'F m -3 m'
_symmetry_Int_Tables_number 225
_symmetry_space_group_name_Hall '-F 4 2 3'
loop_
_atom_site_label
_atom_site_type_symbol
_atom_site_fract_x
_atom_site_fract_y
_atom_site_fract_z
Ba1 Ba 0.000 0.000 0.000
Ga1 Ga 0.250 0.250 0.250
Fe1 Fe 0.000 0.000 0.500


# PBE Ba3GaFe, relaxed
# - Energy of formation: 0.43 eV/atom
data_Ba3GaFe
_chemical_formula_sum 'Ba3 Ga1 Fe1'
_cell_length_a 5.701
_cell_length_b 5.701
_cell_length_c 5.701
_cell_angle_alpha 90.00
_cell_angle_beta 90.00
_cell_angle_gamma 90.00
_symmetry_space_group_name_H-M 'P m -3 m'
_symmetry_Int_Tables_number 221
_symmetry_space_group_name_Hall '-P 4 2 3'
loop_
_atom_site_label
_atom_site_type_symbol
_atom_site_fract_x
_atom_site_fract_y
_atom_site_fract_z
Ba1 Ba 0.000 0.000 0.500
Ga1 Ga 0.500 0.500 0.500
Fe1 Fe 0.000 0.000 0.000


# PBE BaGaFe3, relaxed
# - Energy above the most stable polymorph in this dataset: 0 meV per atom
# - Energy of formation: 0.78 eV/atom
data_BaGaFe3
_chemical_formula_sum 'Ba1 Ga1 Fe3'
_cell_length_a 4.748
_cell_length_b 4.748
_cell_length_c 4.748
_cell_angle_alpha 90.00
_cell_angle_beta 90.00
_cell_angle_gamma 90.00
_symmetry_space_group_name_H-M 'P m -3 m'
_symmetry_Int_Tables_number 221
_symmetry_space_group_name_Hall '-P 4 2 3'
loop_
_atom_site_label
_atom_site_type_symbol
_atom_site_fract_x
_atom_site_fract_y
_atom_site_fract_z
Ba1 Ba 0.000 0.000 0.000
Ga1 Ga 0.500 0.500 0.500
Fe1 Fe 0.000 0.500 0.500


# PBE BaGa2Fe, relaxed
# - Energy of formation: 0.04 eV/atom
data_BaGa2Fe
_chemical_formula_sum 'Ba4 Ga8 Fe4'
_cell_length_a 5.253
_cell_length_b 5.253
_cell_length_c 14.892
_cell_angle_alpha 90.00
_cell_angle_beta 90.00
_cell_angle_gamma 90.00
_symmetry_space_group_name_H-M 'I 41/a m d'
_symmetry_Int_Tables_number 141
loop_
_symmetry_equiv_pos_as_xyz
'x,y,z'
'-x,-y,-z'
'-y+1/4,x+3/4,z+1/4'
'y+1/4,-x+3/4,-z+1/4'
'-x+1/2,-y,z+1/2'
'x+1/2,y,-z+1/2'
'y+1/4,-x+1/4,z+3/4'
'-y+1/4,x+1/4,-z+3/4'
'x,-y,-z'
'-x,y,z'
'-y+1/4,-x+1/4,-z+3/4'
'y+1/4,x+1/4,z+3/4'
'-x+1/2,y,-z+1/2'
'x+1/2,-y,z+1/2'
'y+1/4,x+3/4,-z+1/4'
'-y+1/4,-x+3/4,z+1/4'
'x+1/2,y+1/2,z+1/2'
'-x+1/2,-y+1/2,-z+1/2'
'-y+3/4,x+1/4,z+3/4'
'y+3/4,-x+1/4,-z+3/4'
'-x,-y+1/2,z'
'x,y+1/2,-z'
'y+3/4,-x+3/4,z+1/4'
'-y+3/4,x+3/4,-z+1/4'
'x+1/2,-y+1/2,-z+1/2'
'-x+1/2,y+1/2,z+1/2'
'-y+3/4,-x+3/4,-z+1/4'
'y+3/4,x+3/4,z+1/4'
'-x,y+1/2,-z'
'x,-y+1/2,z'
'y+3/4,x+1/4,-z+3/4'
'-y+3/4,-x+1/4,z+3/4'
loop_
_atom_site_label
_atom_site_type_symbol
_atom_site_fract_x
_atom_site_fract_y
_atom_site_fract_z
Ba1 Ba 0.000 0.250 0.375
Ga1 Ga 0.000 0.000 0.000
Fe1 Fe 0.000 0.250 0.875


# PBE BaGaFe3, relaxed
# - Energy above the most stable polymorph in this dataset: 1464 meV per atom
# - Energy of formation: 2.24 eV/atom
data_BaGaFe3
_chemical_formula_sum 'Ba1 Ga1 Fe3'
_cell_length_a 4.914
_cell_length_b 4.914
_cell_length_c 4.914
_cell_angle_alpha 90.00
_cell_angle_beta 90.00
_cell_angle_gamma 90.00
_symmetry_space_group_name_H-M 'P m -3 m'
_symmetry_Int_Tables_number 221
_symmetry_space_group_name_Hall '-P 4 2 3'
loop_
_atom_site_label
_atom_site_type_symbol
_atom_site_fract_x
_atom_site_fract_y
_atom_site_fract_z
Ba1 Ba 0.000 0.000 0.000
Ga1 Ga 0.500 0.500 0.500
Fe1 Fe 0.000 0.000 0.500


# PBE BaGa2FeGe, relaxed
# - Energy of formation: -0.29 eV/atom
data_BaGa2FeGe
_chemical_formula_sum 'Ba1 Ga2 Fe1 Ge1'
_cell_length_a 4.740
_cell_length_b 4.740
_cell_length_c 4.663
_cell_angle_alpha 90.00
_cell_angle_beta 90.00
_cell_angle_gamma 90.00
_symmetry_space_group_name_H-M 'P 4/m m m'
_symmetry_Int_Tables_number 123
_symmetry_space_group_name_Hall '-P 4 2'
loop_
_atom_site_label
_atom_site_type_symbol
_atom_site_fract_x
_atom_site_fract_y
_atom_site_fract_z
Ba1 Ba 0.000 0.000 0.000
Ga1 Ga 0.000 0.500 0.500
Fe1 Fe 0.500 0.500 0.500
Ge1 Ge 0.500 0.500 0.000


# PBE BaInGa2Fe, relaxed
# - Energy of formation: -0.27 eV/atom
data_BaInGa2Fe
_chemical_formula_sum 'Ba1 In1 Ga2 Fe1'
_cell_length_a 4.788
_cell_length_b 4.788
_cell_length_c 5.020
_cell_angle_alpha 90.00
_cell_angle_beta 90.00
_cell_angle_gamma 90.00
_symmetry_space_group_name_H-M 'P 4/m m m'
_symmetry_Int_Tables_number 123
_symmetry_space_group_name_Hall '-P 4 2'
loop_
_atom_site_label
_atom_site_type_symbol
_atom_site_fract_x
_atom_site_fract_y
_atom_site_fract_z
Ba1 Ba 0.000 0.000 0.000
In1 In 0.500 0.500 0.000
Ga1 Ga 0.000 0.500 0.500
Fe1 Fe 0.500 0.500 0.500